The following is a PBE-GGA calculation of crystalline Sm7Tl2Cu2 at its relaxed geometry, from Alexandria via LeMat-Bulk.

Total DFT energy (no corrections) ... -4.203 eV per atom
N(E_F) ... 13.69 states/eV/cell
Symmetry ... Cmmm

a = 7.0277 Å, b = 7.1799 Å, c = 7.0277 Å
α = 90.00°, β = 109.01°, γ = 90.00°
Closest atoms and distances in Å follow each position.
Element x y z (fractional)
Tl 0.1780 0.5000 0.1780  1 Tl 2.91, 2 Sm 3.23
Tl 0.8220 0.5000 0.8220  1 Tl 2.91, 2 Sm 3.23
Cu 0.7067 0.0000 0.2933  6 Sm 2.79-2.92
Cu 0.2933 0.0000 0.7067  6 Sm 2.79-2.92
Sm 0.5003 0.7450 0.9998  2 Cu 2.79
Sm 0.5002 0.7622 0.4998  2 Cu 2.91-2.92, 2 Tl 3.23
Sm 0.4997 0.2550 0.0002  2 Cu 2.79
Sm 0.0000 0.0000 0.0000  2 Cu 3.36
Sm 0.0002 0.7450 0.4997  2 Cu 2.79
Sm 0.9998 0.2550 0.5003  2 Cu 2.79
Sm 0.4998 0.2378 0.5002  2 Cu 2.91-2.92, 2 Tl 3.23

=====

The following is a PBE-GGA calculation of crystalline Er4PaN5 at its relaxed geometry, from Alexandria via LeMat-Bulk.

Total DFT energy (no corrections) ... -8.708 eV per atom
N(E_F) ... 3.52 states/eV/cell
ΔE_f (raw) ... -170.9 kJ per mole of atoms
Symmetry ... I4/m

a = 4.8703 Å, b = 5.9587 Å, c = 5.9587 Å
α = 80.39°, β = 65.88°, γ = 65.88°
Closest atoms and distances in Å follow each position.
Element x y z (fractional)
N 0.0961 0.6138 0.1961  1 Pa 2.36, 5 Er 2.40-2.49
N 0.9060 0.3862 0.8039  1 Pa 2.36, 5 Er 2.40-2.49
N 0.2922 0.8039 0.6138  1 Pa 2.36, 5 Er 2.40-2.49
N 0.5010 0.0000 0.0000  2 Pa 2.43-2.44, 4 Er 2.45
N 0.7098 0.1961 0.3862  1 Pa 2.36, 5 Er 2.40-2.49
Pa 0.0011 0.0000 0.0000  6 N 2.36-2.44
Er 0.6001 0.5981 0.2038  6 N 2.40-2.49
Er 0.4020 0.4019 0.7962  6 N 2.40-2.49
Er 0.1982 0.2038 0.4019  6 N 2.40-2.49
Er 0.8039 0.7962 0.5981  6 N 2.40-2.49

=====

The following is a PBE-GGA calculation of crystalline Hf2FeH at its relaxed geometry, from Alexandria via LeMat-Bulk.

Total DFT energy (no corrections) ... -7.834 eV per atom
N(E_F) ... 3.72 states/eV/cell
Symmetry ... P4/mmm
Distance to the lowest polymorph of the same formula ... 0.50 eV/f.u.

a = 2.9805 Å, b = 2.9805 Å, c = 6.3225 Å
α = 90.00°, β = 90.00°, γ = 90.00°
Closest atoms and distances in Å follow each position.
Element x y z (fractional)
Hf 0.0000 0.0000 0.7592  4 H 2.60, 4 Fe 2.67
Hf 0.0000 0.0000 0.2408  4 H 2.60, 4 Fe 2.67
Fe 0.5000 0.5000 0.5000  8 Hf 2.67, 4 Fe 2.98
H 0.5000 0.5000 0.0000  8 Hf 2.60

=====

The following is a PBE-GGA calculation of crystalline TlHgGeTe3 at its relaxed geometry, from Alexandria via LeMat-Bulk.

Total DFT energy (no corrections) ... -2.878 eV per atom
N(E_F) ... 3.92 states/eV/cell
ΔE_f (raw) ... -9.0 kJ per mole of atoms
Symmetry ... P2_1/m

a = 4.1173 Å, b = 9.2982 Å, c = 10.6975 Å
α = 103.87°, β = 90.00°, γ = 90.00°
Closest atoms and distances in Å follow each position.
Element x y z (fractional)
Te 0.2500 0.7667 0.4868  3 Hg 2.90-2.99
Te 0.2500 0.1119 0.8965  1 Hg 2.83, 2 Ge 2.93
Te 0.7500 0.4653 0.1644  3 Ge 2.73-2.97
Te 0.7500 0.8881 0.1035  1 Hg 2.83, 2 Ge 2.93
Te 0.7500 0.2333 0.5132  3 Hg 2.90-2.99
Te 0.2500 0.5347 0.8356  3 Ge 2.73-2.97
Tl 0.7500 0.7978 0.7590  7 Te 3.44-3.59
Tl 0.2500 0.2022 0.2410  7 Te 3.44-3.59
Ge 0.2500 0.6618 0.0933  5 Te 2.73-2.97
Ge 0.7500 0.3382 0.9067  5 Te 2.73-2.97
Hg 0.2500 0.0864 0.6273  4 Te 2.83-2.99
Hg 0.7500 0.9136 0.3727  4 Te 2.83-2.99

=====

The following is a PBE-GGA calculation of crystalline Re2Os at its relaxed geometry, from Alexandria via LeMat-Bulk.

Total DFT energy (no corrections) ... -11.698 eV per atom
N(E_F) ... 5.10 states/eV/cell
Symmetry ... Cmmm
Distance to the lowest polymorph of the same formula ... 1.25 eV/f.u.

a = 7.5502 Å, b = 7.5502 Å, c = 2.8406 Å
α = 90.00°, β = 90.00°, γ = 145.65°
Closest atoms and distances in Å follow each position.
Element x y z (fractional)
Os 0.3099 0.6901 0.0000  6 Re 2.71, 4 Os 2.82-2.84
Os 0.6901 0.3099 0.0000  6 Re 2.71, 4 Os 2.82-2.84
Re 0.5000 0.5000 0.5000  6 Re 2.64-2.84
Re 0.0000 0.0000 0.0000  10 Re 2.59-2.84
Re 0.1501 0.8499 0.5000  4 Re 2.59-2.84, 6 Os 2.71
Re 0.8499 0.1501 0.5000  4 Re 2.59-2.84, 6 Os 2.71

=====

The following is a PBE-GGA calculation of crystalline Tb5Er2Pu at its relaxed geometry, from Alexandria via LeMat-Bulk.

Total DFT energy (no corrections) ... -5.647 eV per atom
N(E_F) ... 30.91 states/eV/cell
Symmetry ... C2/c

a = 6.6113 Å, b = 6.6114 Å, c = 13.0277 Å
α = 70.09°, β = 70.09°, γ = 87.17°
Closest atoms and distances in Å follow each position.
Element x y z (fractional)
Tb 0.0314 0.2560 0.9813  5 Tb 3.28-3.55, 1 Er 3.50
Tb 0.2560 0.0314 0.4813  5 Tb 3.28-3.55, 1 Er 3.50
Tb 0.0121 0.6368 0.7381  2 Pu 3.26-3.54, 5 Tb 3.35-3.54, 1 Er 3.54
Tb 0.7440 0.9686 0.5187  5 Tb 3.28-3.55, 1 Er 3.50
Tb 0.4757 0.5243 0.2500  4 Er 3.26-3.64, 1 Pu 3.30, 6 Tb 3.38-3.55
Tb 0.6368 0.0121 0.2381  2 Pu 3.26-3.54, 5 Tb 3.35-3.54, 1 Er 3.54
Tb 0.9686 0.7440 0.0187  5 Tb 3.28-3.55, 1 Er 3.50
Tb 0.5243 0.4757 0.7500  4 Er 3.26-3.64, 1 Pu 3.30, 6 Tb 3.38-3.55
Tb 0.3632 0.9879 0.7619  2 Pu 3.26-3.54, 5 Tb 3.35-3.54, 1 Er 3.54
Tb 0.9879 0.3632 0.2619  2 Pu 3.26-3.54, 5 Tb 3.35-3.54, 1 Er 3.54
Er 0.5000 0.0000 0.0000  2 Pu 3.25, 2 Er 3.31, 6 Tb 3.50-3.64
Er 0.5000 0.5000 0.5000  2 Tb 3.26, 2 Er 3.31
Er 0.0000 0.5000 0.5000  2 Pu 3.25, 2 Er 3.31, 6 Tb 3.50-3.64
Er 0.5000 0.5000 0.0000  2 Tb 3.26, 2 Er 3.31
Pu 0.1133 0.8867 0.2500  2 Er 3.25, 5 Tb 3.26-3.54
Pu 0.8867 0.1133 0.7500  2 Er 3.25, 5 Tb 3.26-3.54